Entry 1:
The following is a PBE calculation of an optimized crystal structure of Sb2SIO, from Alexandria via LeMat-Bulk.

polymorph energy (0 for the lowest one)	0.0	meV/atom

```
data_Sb2SIO
_space_group_name_H-M_alt 'P 1'
_space_group_IT_number 1
_cell_length_a 4.934
_cell_length_b 4.934
_cell_length_c 4.787
_cell_angle_alpha 90.00
_cell_angle_beta 90.00
_cell_angle_gamma 90.00
loop_
_space_group_symop_operation_xyz
'x,y,z'
loop_
_atom_site_label
_atom_site_type_symbol
_atom_site_fract_x
_atom_site_fract_y
_atom_site_fract_z
I1 I 0.000 0.000 0.500
Sb1 Sb 0.000 0.500 0.000
Sb2 Sb 0.500 0.000 0.000
O1 O 0.000 0.000 0.000
S1 S 0.500 0.500 0.500
```

---

Entry 2:
The following is a PBE calculation of an optimized crystal structure of CaLaCl5, from Alexandria via LeMat-Bulk.

total DFT energy (no corrections)	-4.625	eV/atom

```
data_CaLaCl5
_space_group_name_H-M_alt 'P 1'
_space_group_IT_number 1
_cell_length_a 7.375
_cell_length_b 7.375
_cell_length_c 10.502
_cell_angle_alpha 68.81
_cell_angle_beta 68.81
_cell_angle_gamma 71.21
loop_
_space_group_symop_operation_xyz
'x,y,z'
loop_
_atom_site_label
_atom_site_type_symbol
_atom_site_fract_x
_atom_site_fract_y
_atom_site_fract_z
Cl1 Cl 0.721 0.345 0.545
Cl2 Cl 0.279 0.655 0.455
Cl3 Cl 0.200 0.303 0.854
Cl4 Cl 0.303 0.200 0.354
Cl5 Cl 0.800 0.697 0.146
Cl6 Cl 0.345 0.721 0.045
Cl7 Cl 0.866 0.134 0.250
Cl8 Cl 0.697 0.800 0.646
Cl9 Cl 0.655 0.279 0.955
Cl10 Cl 0.134 0.866 0.750
La1 La 0.000 0.000 0.500
La2 La 0.000 0.000 0.000
Ca1 Ca 0.527 0.473 0.250
Ca2 Ca 0.473 0.527 0.750
```

---

Entry 3:
The following is a PBE calculation of an optimized crystal structure of Li2ErP2Pd2, from Alexandria via LeMat-Bulk.

formation energy from the elements	-91.6	kJ/mol of atoms

```
data_Li2ErP2Pd2
_space_group_name_H-M_alt 'P 1'
_space_group_IT_number 1
_cell_length_a 4.116
_cell_length_b 4.116
_cell_length_c 7.893
_cell_angle_alpha 74.89
_cell_angle_beta 74.89
_cell_angle_gamma 60.00
loop_
_space_group_symop_operation_xyz
'x,y,z'
loop_
_atom_site_label
_atom_site_type_symbol
_atom_site_fract_x
_atom_site_fract_y
_atom_site_fract_z
Er1 Er 0.000 0.000 0.000
Li1 Li 0.858 0.858 0.426
Li2 Li 0.142 0.142 0.574
P1 P 0.745 0.745 0.765
P2 P 0.255 0.255 0.235
Pd1 Pd 0.576 0.576 0.271
Pd2 Pd 0.424 0.424 0.729
```